## Sr2BeRu (PBE-GGA)

Data for crystalline Sr2BeRu at its relaxed geometry.

Uncorrected energy = -3.416 eV/atom
N(E_F) = 1.268 states/eV per atom

```
data_Sr2BeRu
_chemical_formula_sum 'Sr4 Be2 Ru2'
_symmetry_space_group_name_H-M 'C m m m'
_symmetry_Int_Tables_number 65
_symmetry_space_group_name_Hall '-C 2 2'
_cell_length_a 7.285
_cell_length_b 7.310
_cell_length_c 3.705
_cell_angle_alpha 90.00
_cell_angle_beta 90.00
_cell_angle_gamma 90.00
loop_
_atom_site_label
_atom_site_type_symbol
_atom_site_fract_x
_atom_site_fract_y
_atom_site_fract_z
_atom_site_occupancy
Sr1 Sr 0.250 0.250 0.000 1
Be1 Be 0.000 0.000 0.500 1
Ru1 Ru 0.000 0.500 0.500 1
```



## Sr2BeRu (PBE-GGA)

Data for crystalline Sr2BeRu at its relaxed geometry.

Uncorrected energy = -3.940 eV/atom
N(E_F) = 0.462 states/eV per atom

```
data_Sr2BeRu
_chemical_formula_sum 'Sr4 Be2 Ru2'
_symmetry_space_group_name_H-M 'A m m 2'
_symmetry_Int_Tables_number 38
_cell_length_a 4.039
_cell_length_b 4.661
_cell_length_c 11.362
_cell_angle_alpha 90.00
_cell_angle_beta 90.00
_cell_angle_gamma 90.00
loop_
_symmetry_equiv_pos_as_xyz
'x,y,z'
'-x,-y,z'
'-x,y,z'
'x,-y,z'
'x,y+1/2,z+1/2'
'-x,-y+1/2,z+1/2'
'-x,y+1/2,z+1/2'
'x,-y+1/2,z+1/2'
loop_
_atom_site_label
_atom_site_type_symbol
_atom_site_fract_x
_atom_site_fract_y
_atom_site_fract_z
_atom_site_occupancy
Sr1 Sr 0.000 0.000 0.000 1
Sr2 Sr 0.500 0.000 0.279 1
Be1 Be 0.000 0.000 0.680 1
Ru1 Ru 0.500 0.000 0.602 1
```



## Sr2BeRu (PBE-GGA)

Data for crystalline Sr2BeRu at its relaxed geometry.

Uncorrected energy = -2.890 eV/atom
N(E_F) = 0.900 states/eV per atom

```
data_Sr2BeRu
_chemical_formula_sum 'Sr8 Be4 Ru4'
_symmetry_space_group_name_H-M 'I -4 2 d'
_symmetry_Int_Tables_number 122
_symmetry_space_group_name_Hall 'I -4 2bw'
_cell_length_a 4.580
_cell_length_b 4.580
_cell_length_c 19.858
_cell_angle_alpha 90.00
_cell_angle_beta 90.00
_cell_angle_gamma 90.00
loop_
_atom_site_label
_atom_site_type_symbol
_atom_site_fract_x
_atom_site_fract_y
_atom_site_fract_z
_atom_site_occupancy
Sr1 Sr 0.242 0.250 0.125 1
Be1 Be 0.000 0.000 0.500 1
Ru1 Ru 0.000 0.000 0.000 1
```



## Sr2BeRu (PBE-GGA)

Data for crystalline Sr2BeRu at its relaxed geometry.

Uncorrected energy = -3.876 eV/atom
N(E_F) = 0.561 states/eV per atom

```
data_Sr2BeRu
_chemical_formula_sum 'Sr4 Be2 Ru2'
_symmetry_space_group_name_H-M 'I m m 2'
_symmetry_Int_Tables_number 44
_cell_length_a 3.931
_cell_length_b 4.497
_cell_length_c 13.284
_cell_angle_alpha 90.00
_cell_angle_beta 90.00
_cell_angle_gamma 90.00
loop_
_symmetry_equiv_pos_as_xyz
'x,y,z'
'-x,-y,z'
'-x,y,z'
'x,-y,z'
'x+1/2,y+1/2,z+1/2'
'-x+1/2,-y+1/2,z+1/2'
'-x+1/2,y+1/2,z+1/2'
'x+1/2,-y+1/2,z+1/2'
loop_
_atom_site_label
_atom_site_type_symbol
_atom_site_fract_x
_atom_site_fract_y
_atom_site_fract_z
_atom_site_occupancy
Sr1 Sr 0.000 0.000 0.000 1
Sr2 Sr 0.000 0.500 0.251 1
Be1 Be 0.000 0.500 0.836 1
Ru1 Ru 0.000 0.000 0.407 1
```



## SrBe3Ru (PBE-GGA)

Data for crystalline SrBe3Ru at its relaxed geometry.

Uncorrected energy = -1.658 eV/atom
N(E_F) = 2.204 states/eV per atom
Distance to the lowest polymorph of the same formula = 2689.9 meV/atom

```
data_SrBe3Ru
_chemical_formula_sum 'Sr1 Be3 Ru1'
_symmetry_space_group_name_H-M 'P m -3 m'
_symmetry_Int_Tables_number 221
_symmetry_space_group_name_Hall '-P 4 2 3'
_cell_length_a 4.573
_cell_length_b 4.573
_cell_length_c 4.573
_cell_angle_alpha 90.00
_cell_angle_beta 90.00
_cell_angle_gamma 90.00
loop_
_atom_site_label
_atom_site_type_symbol
_atom_site_fract_x
_atom_site_fract_y
_atom_site_fract_z
_atom_site_occupancy
Sr1 Sr 0.000 0.000 0.000 1
Be1 Be 0.000 0.000 0.500 1
Ru1 Ru 0.500 0.500 0.500 1
```



## Sr2BeRu (PBE-GGA)

Data for crystalline Sr2BeRu at its relaxed geometry.

Uncorrected energy = -3.381 eV/atom
N(E_F) = 0.564 states/eV per atom

```
data_Sr2BeRu
_chemical_formula_sum 'Sr4 Be2 Ru2'
_symmetry_space_group_name_H-M 'I -4 m 2'
_symmetry_Int_Tables_number 119
_symmetry_space_group_name_Hall 'I -4 -2'
_cell_length_a 4.660
_cell_length_b 4.660
_cell_length_c 8.399
_cell_angle_alpha 90.00
_cell_angle_beta 90.00
_cell_angle_gamma 90.00
loop_
_atom_site_label
_atom_site_type_symbol
_atom_site_fract_x
_atom_site_fract_y
_atom_site_fract_z
_atom_site_occupancy
Sr1 Sr 0.000 0.000 0.000 1
Sr2 Sr 0.000 0.500 0.250 1
Be1 Be 0.000 0.500 0.750 1
Ru1 Ru 0.000 0.000 0.500 1
```



Q: Among the records above, which one has the lowest N(E_F)?
A: number 2